1.
TaSbP2: relaxed, PBE.

Values from the calculation:
- SG: No. 99
- Density: 7.638 g/cm3
- Volume: 79.3 Å³ per cell
- ΔE_f (raw): -0.02 eV per atom
- Final energy: -6.7168 eV/atom
- N(E_F): 3.30 states/eV/f.u.

Cell: 3.1703 3.1703 7.8879 Å, 90.00 90.00 90.02°
Positions (direct):
P: 0.0000 0.0000 0.9832
P: 0.5000 0.5000 0.1450
Sb: 0.0000 0.0000 0.5508
Ta: 0.5000 0.5000 0.8210


2.
SrCa4Zn: relaxed, PBE.

Values from the calculation:
- SG: No. 123
- Density: 2.286 g/cm3
- Volume: 227.6 Å³ per cell
- ΔH_f (0 K): -0.066 eV/atom
- Energy above the most stable polymorph in this dataset: 0 meV/atom
- Final energy: -1.8933 eV/atom
- N(E_F): 6.42 states/eV/f.u.

Cell: 3.8336 3.8336 15.4858 Å, 90.00 90.00 90.00°
Positions (direct):
Sr: 0.0000 0.0000 0.0000
Ca: 0.5000 0.5000 0.2010
Ca: 0.0000 0.0000 0.6129
Ca: 0.0000 0.0000 0.3871
Ca: 0.5000 0.5000 0.7990
Zn: 0.5000 0.5000 0.5000


3.
HoBe2Ni5: relaxed, PBE.

Values from the calculation:
- SG: No. 71
- Density: 8.205 g/cm3
- Volume: 96.4 Å³ per cell
- ΔH_f (0 K): -0.337 eV/atom
- Final energy: -5.4543 eV/atom
- N(E_F): 3.80 states/eV/f.u.

Cell: 3.5406 5.6600 5.6600 Å, 66.42 71.77 71.77°
Positions (direct):
Ho: 0.0000 0.0000 0.0000
Be: 0.7650 0.7350 0.7350
Be: 0.2350 0.2650 0.2650
Ni: 0.0000 0.5000 0.5000
Ni: 0.6505 0.5423 0.1567
Ni: 0.3495 0.4577 0.8433
Ni: 0.3495 0.8433 0.4577
Ni: 0.6505 0.1567 0.5423


4.
BeFe5: relaxed, PBE.

Values from the calculation:
- SG: No. 123
- Density: 7.766 g/cm3
- Volume: 61.6 Å³ per cell
- ΔH_f (0 K): 0.010 eV/atom
- Energy above the most stable polymorph in this dataset: 33 meV/atom
- Final energy: -7.6631 eV/atom
- N(E_F): 5.48 states/eV/f.u.

Cell: 2.4431 2.4431 10.3258 Å, 90.00 90.00 90.00°
Each line ends with the local moment (μB).
Positions (direct):
Be: 0.5000 0.5000 0.0000  -0.06
Fe: 0.0000 0.0000 0.8531  1.74
Fe: 0.0000 0.0000 0.1469  1.74
Fe: 0.5000 0.5000 0.6786  -1.59
Fe: 0.5000 0.5000 0.3214  -1.59
Fe: 0.0000 0.0000 0.5000  1.64


5.
ZnCo2Ru: relaxed, PBE.

Values from the calculation:
- SG: No. 139
- Density: 9.757 g/cm3
- Volume: 48.4 Å³ per cell
- ΔH_f (0 K): 0.131 eV/atom
- Final energy: -6.0592 eV/atom
- N(E_F): 4.99 states/eV/f.u.

Cell: 4.4474 4.4474 4.4474 Å, 131.45 131.45 71.11°
Each line ends with the local moment (μB).
Positions (direct):
Co: 0.0000 0.0000 0.0000  0.46
Co: 0.5000 0.5000 0.0000  0.46
Ru: 0.2500 0.7500 0.5000  0.47
Zn: 0.7500 0.2500 0.5000  -0.01


6.
PuSiOs: relaxed, PBE.

Values from the calculation:
- SG: No. 187
- Density: 13.281 g/cm3
- Volume: 57.8 Å³ per cell
- ΔE_f (raw): -0.31 eV per atom
- Final energy: -10.6365 eV/atom
- N(E_F): 8.35 states/eV/f.u.

Cell: 3.8680 4.1541 4.1541 Å, 120.00 90.00 90.00°
Each line ends with the local moment (μB).
Positions (direct):
Si: 0.1666 0.6667 0.3333  0.01
Os: 0.1667 0.0000 0.0000  -0.26
Pu: 0.6666 0.3333 0.6667  4.97